1.
Computed, not measured: NdTcI after structural relaxation at the PBE level of DFT.

- density of states at the Fermi level (states/eV per cell) = 9.570
- ΔE_f (raw) (eV/f.u.) = -2.1
- calculated total energy (Ha/atom) = -0.2297

Cell and atoms, written as CIF:
```
data_NdTcI
_symmetry_space_group_name_H-M 'R -3 m'
_symmetry_Int_Tables_number 166
_symmetry_space_group_name_Hall '-R 3 2"'
_cell_length_a 4.1645
_cell_length_b 4.1645
_cell_length_c 38.7712
_cell_angle_alpha 90.00
_cell_angle_beta 90.00
_cell_angle_gamma 120.00
loop_
_atom_site_label
_atom_site_type_symbol
_atom_site_fract_x
_atom_site_fract_y
_atom_site_fract_z
_atom_site_occupancy
Nd1 Nd 0.0000 0.0000 0.0575 1
Tc1 Tc 0.0000 0.0000 0.3385 1
I1 I 0.0000 0.0000 0.2193 1
```

---

2.
Computed, not measured: RbPuB2O6 after structural relaxation at the PBE level of DFT.

- density of states at the Fermi level (states/eV per cell) = 33.052
- ΔE_f (raw) (eV/f.u.) = -24.7
- calculated total energy (Ha/atom) = -0.3053

Cell and atoms, written as CIF:
```
data_RbPuB2O6
_symmetry_space_group_name_H-M 'C 1 2/c 1'
_symmetry_Int_Tables_number 15
_symmetry_space_group_name_Hall '-C 2yc'
_cell_length_a 8.954
_cell_length_b 9.898
_cell_length_c 7.269
_cell_angle_alpha 90.00
_cell_angle_beta 107.90
_cell_angle_gamma 90.00
loop_
_atom_site_label
_atom_site_type_symbol
_atom_site_fract_x
_atom_site_fract_y
_atom_site_fract_z
_atom_site_occupancy
Rb1 Rb 0.000 0.105 0.250 1
Pu1 Pu 0.000 0.327 0.750 1
B1 B 0.205 0.396 0.197 1
O1 O 0.092 0.325 0.056 1
O2 O 0.152 0.162 0.710 1
O3 O 0.176 0.475 0.750 1
```

---

3.
Computed, not measured: AlOsW2 after structural relaxation at the PBE level of DFT.

- density of states at the Fermi level (states/eV per cell) = 6.974
- formation energy (meV/atom) = 103.5
- calculated total energy (Ha/atom) = -0.3718

Cell and atoms, written as CIF:
```
data_AlOsW2
_symmetry_space_group_name_H-M 'R -3 m'
_symmetry_Int_Tables_number 166
_symmetry_space_group_name_Hall '-R 3 2"'
_cell_length_a 2.8106
_cell_length_b 2.8106
_cell_length_c 27.2179
_cell_angle_alpha 90.00
_cell_angle_beta 90.00
_cell_angle_gamma 120.00
loop_
_atom_site_label
_atom_site_type_symbol
_atom_site_fract_x
_atom_site_fract_y
_atom_site_fract_z
_atom_site_occupancy
Al1 Al 0.0000 0.0000 0.0000 1
Os1 Os 0.0000 0.0000 0.5000 1
W1 W 0.0000 0.0000 0.2487 1
```

---

| no. | total magnetic moment (μB per atom) |
| --- | --- |
| 1 | 0.00 |
| 2 | 0.30 |
| 3 | 0.00 |